A PBEsol-optimized structure of YSbAs. Source: the Alexandria database, functional meta-GGA SCAN.

Cell lengths 6.954, 6.954, 6.954 Å; angles 90.00, 90.00, 90.00 degrees
Atoms (fractional coordinates):
Y: 0.000 0.000 0.000
Y: 0.000 0.500 0.500
Y: 0.500 0.000 0.500
Y: 0.500 0.500 0.000
Sb: 0.250 0.250 0.750
Sb: 0.250 0.750 0.250
Sb: 0.750 0.250 0.250
Sb: 0.750 0.750 0.750
As: 0.250 0.250 0.250
As: 0.250 0.750 0.750
As: 0.750 0.250 0.750
As: 0.750 0.750 0.250

Output
raw formation energy = -0.43 eV per atom
energy relative to the lowest polymorph listed for this composition = 65 meV per atom

A PBEsol-optimized structure of YSb3As. Source: the Alexandria database, functional meta-GGA SCAN.

Cell lengths 5.616, 5.616, 5.616 Å; angles 90.00, 90.00, 90.00 degrees
Atoms (fractional coordinates):
Y: 0.000 0.000 0.000
Sb: 0.000 0.000 0.500
Sb: 0.000 0.500 0.000
Sb: 0.500 0.000 0.000
As: 0.500 0.500 0.500

Output
raw formation energy = 0.79 eV per atom

A PBEsol-optimized structure of YSbAs4. Source: the Alexandria database, functional meta-GGA SCAN.

Cell lengths 5.603, 5.603, 5.603 Å; angles 60.00, 60.00, 60.00 degrees
Atoms (fractional coordinates):
Y: 0.000 0.000 0.000
Sb: 0.750 0.750 0.750
As: 0.374 0.374 0.374
As: 0.374 0.374 0.877
As: 0.374 0.877 0.374
As: 0.877 0.374 0.374

Output
raw formation energy = -0.13 eV per atom